LiW2Au | GGA-PBEsol | relaxed

Cell lengths 2.7464, 2.7464, 29.3242 Å; angles 90.00, 90.00, 120.00 degrees
Space group R-3m (No. 166, hexagonal axes)
Asymmetric unit:
Li 0.0000 0.0000 0.0000 [3 per cell]
W 0.0000 0.0000 0.2485 [6 per cell]
Au 0.0000 0.0000 0.5000 [3 per cell]

Results
V: 63.85 Å³/f.u.
D(E_F): 8.5 states/eV/cell
polymorph energy (0 for the lowest one): 1.40 eV per formula unit
calculated formation energy: 2.11 eV per formula unit